18
Lattice="4.982 0.000 0.000 -2.491 4.314 0.000 0.000 0.000 8.918" Properties=species:S:1:pos:R:3 comment="AlVTeO6, relaxed, DFT GGA+U" final_energy_ry_per_atom=-0.496 m_tot_mub_per_fu=2.00 pbc="T T T"
Al 0.000 2.876 2.229
Al 2.491 1.438 6.688
V 0.000 0.000 0.000
V 0.000 0.000 4.459
Te 0.000 2.876 6.688
Te 2.491 1.438 2.229
O -0.845 1.509 1.185
O -1.607 2.828 3.273
O 0.845 1.509 3.273
O -0.762 4.292 1.185
O 1.729 0.023 5.644
O 0.884 1.486 7.732
O 1.607 2.828 1.185
O 0.762 4.292 3.273
O 3.253 0.023 7.732
O 1.646 2.806 5.644
O 4.098 1.486 5.644
O 3.336 2.806 7.732